# 1
The following is a DFT calculation (PBE-GGA) of crystalline Y3Pb4 at its relaxed geometry.

**Total magnetic moment**: 0.0 Bohr magnetons per cell
**E_form**: -0.44 eV per atom

Cell: 6.2487 6.2487 15.9793 Å, 90.00 90.00 138.26°
With the nearest neighbours (Å) after each atom.
Atoms (fractional coordinates):
Y  0.0805  0.9195  0.5000  5 Pb 3.08-3.23
Y  0.3412  0.6588  0.3473  8 Pb 3.29-3.43
Y  0.3412  0.6588  0.6523  8 Pb 3.28-3.44
Y  0.6588  0.3412  0.1523  8 Pb 3.28-3.44
Y  0.6588  0.3412  0.8473  8 Pb 3.29-3.43
Y  0.9195  0.0805  0.0000  5 Pb 3.08-3.23
Pb  0.0000  0.0000  0.2498  4 Pb 3.23-3.24, 4 Y 3.29
Pb  0.0000  0.0000  0.7498  4 Pb 3.23-3.24, 4 Y 3.29
Pb  0.1830  0.8170  0.9998  5 Y 3.08-3.31, 2 Pb 3.10
Pb  0.3650  0.6350  0.1410  3 Pb 3.10-3.24, 6 Y 3.23-3.44
Pb  0.3655  0.6345  0.8589  3 Pb 3.10-3.23, 6 Y 3.23-3.43
Pb  0.6345  0.3655  0.3589  3 Pb 3.10-3.23, 6 Y 3.23-3.43
Pb  0.6350  0.3650  0.6410  3 Pb 3.10-3.24, 6 Y 3.23-3.44
Pb  0.8170  0.1830  0.4998  5 Y 3.08-3.31, 2 Pb 3.10

=====

# 2
The following is a DFT calculation (PBE-GGA) of crystalline BaLaCr2Pd at its relaxed geometry.

**Total magnetic moment**: 8.3 Bohr magnetons per cell
**E_form**: 1.35 eV per atom

Cell: 5.4938 5.4938 5.3062 Å, 90.00 90.00 90.00°
With the nearest neighbours (Å) after each atom.
Atoms (fractional coordinates):
Ba  0.0000  0.0000  0.0000  2 Pd 2.65, 4 Cr 2.75
La  0.5000  0.5000  0.5000  8 Cr 3.82, 4 Pd 3.88
Cr  0.0000  0.5000  0.0000  2 Ba 2.75
Cr  0.5000  0.0000  0.0000  2 Ba 2.75
Pd  0.0000  0.0000  0.5000  2 Ba 2.65

=====

# 3
The following is a DFT calculation (PBE-GGA) of crystalline Fe2ReNi at its relaxed geometry.

**Total magnetic moment**: 4.2 Bohr magnetons per cell
**E_form**: 0.07 eV per atom

Cell: 4.4485 4.4485 4.4676 Å, 99.24 99.24 33.92°
With the nearest neighbours (Å) after each atom.
Atoms (fractional coordinates):
Fe  0.2462  0.2462  0.2427  6 Fe 2.54-2.63, 3 Ni 2.55-2.57, 3 Re 2.55-2.61
Fe  0.7538  0.7538  0.7573  6 Fe 2.54-2.63, 3 Ni 2.55-2.57, 3 Re 2.55-2.61
Re  0.0000  0.0000  0.5000  6 Fe 2.55-2.61, 4 Ni 2.58, 2 Re 2.60
Ni  0.5000  0.5000  0.0000  6 Fe 2.55-2.57, 4 Re 2.58, 2 Ni 2.60

=====

# 4
The following is a DFT calculation (PBE-GGA) of crystalline Ho3UCo8 at its relaxed geometry.

**Total magnetic moment**: 4.7 Bohr magnetons per cell
**E_form**: -0.18 eV per atom

Cell: 8.6885 8.6885 8.6885 Å, 33.62 33.62 33.62°
With the nearest neighbours (Å) after each atom.
Atoms (fractional coordinates):
Ho  0.0000  0.0000  0.0000  12 Co 2.92-2.95, 1 Ho 3.07, 3 U 3.08
Ho  0.1249  0.1249  0.1249  12 Co 2.94-2.97, 4 Ho 3.07
Ho  0.4988  0.4988  0.4988  12 Co 2.95-2.97, 3 Ho 3.07, 1 U 3.08
U  0.6242  0.6242  0.6242  12 Co 2.91-2.95, 4 Ho 3.08
Co  0.0581  0.5619  0.5619  6 Co 2.49-2.53
Co  0.0625  0.0625  0.5642  6 Co 2.49-2.54
Co  0.0625  0.5642  0.0625  6 Co 2.49-2.54
Co  0.3118  0.3118  0.3118  6 Co 2.49
Co  0.5619  0.0581  0.5619  6 Co 2.49-2.53
Co  0.5619  0.5619  0.0581  6 Co 2.49-2.53
Co  0.5642  0.0625  0.0625  6 Co 2.49-2.54
Co  0.8115  0.8115  0.8115  6 Co 2.52-2.54

=====

# 5
The following is a DFT calculation (PBE-GGA) of crystalline Cs2Si2Sn at its relaxed geometry.

**Total magnetic moment**: 0.0 Bohr magnetons per cell
**E_form (uncorrected)**: 173 meV/atom

Cell: 7.2518 7.2518 6.2646 Å, 90.00 90.00 90.00°
With the nearest neighbours (Å) after each atom.
Atoms (fractional coordinates):
Cs  0.1948  0.3052  0.0000  6 Si 3.71-3.89, 5 Cs 3.71-4.00, 4 Sn 4.09
Cs  0.3052  0.8052  0.0000  6 Si 3.71-3.89, 5 Cs 3.71-4.00, 4 Sn 4.09
Cs  0.6948  0.1948  0.0000  6 Si 3.71-3.89, 5 Cs 3.71-4.00, 4 Sn 4.09
Cs  0.8052  0.6948  0.0000  6 Si 3.71-3.89, 5 Cs 3.71-4.00, 4 Sn 4.09
Si  0.1116  0.6116  0.5000  1 Si 2.29
Si  0.3884  0.1116  0.5000  1 Si 2.29
Si  0.6116  0.8884  0.5000  1 Si 2.29
Si  0.8884  0.3884  0.5000  1 Si 2.29
Sn  0.0000  0.0000  0.5000  4 Si 2.93
Sn  0.5000  0.5000  0.5000  4 Si 2.93

=====

# 6
The following is a DFT calculation (PBE-GGA) of crystalline Pm6GaSi2Br3 at its relaxed geometry.

**Total magnetic moment**: 0.0 Bohr magnetons per cell
**E_form (uncorrected)**: -1012 meV/atom

Cell: 9.7346 9.7346 8.7584 Å, 104.64 104.64 25.18°
With the nearest neighbours (Å) after each atom.
Atoms (fractional coordinates):
Pm  0.0083  0.0083  0.2357  1 Si 2.91, 2 Ga 2.94, 3 Br 3.17-3.24
Pm  0.3240  0.3240  0.4370  3 Si 2.89, 2 Br 3.21
Pm  0.3402  0.3402  0.8942  2 Si 2.90, 1 Ga 2.94, 3 Br 3.18-3.23
Pm  0.6598  0.6598  0.1058  2 Si 2.90, 1 Ga 2.94, 3 Br 3.18-3.23
Pm  0.6760  0.6760  0.5630  3 Si 2.89, 2 Br 3.21
Pm  0.9917  0.9917  0.7643  1 Si 2.91, 2 Ga 2.94, 3 Br 3.17-3.24
Ga  0.5000  0.5000  0.0000  6 Pm 2.94
Si  0.1666  0.1666  0.3341  6 Pm 2.89-2.91
Si  0.8334  0.8334  0.6659  6 Pm 2.89-2.91
Br  0.1676  0.1676  0.8330  6 Pm 3.18-3.24
Br  0.5000  0.5000  0.5000  6 Pm 3.17-3.25
Br  0.8324  0.8324  0.1670  6 Pm 3.18-3.24

=====

# 7
The following is a DFT calculation (PBE-GGA) of crystalline LiMgSbOs at its relaxed geometry.

**Total magnetic moment**: 0.0 Bohr magnetons per cell
**E_form (uncorrected)**: -58 meV/atom

Cell: 4.5291 4.5291 4.5291 Å, 60.00 60.00 60.00°
With the nearest neighbours (Å) after each atom.
Atoms (fractional coordinates):
Li  0.0000  0.0000  0.0000  4 Mg 2.77, 4 Sb 2.77
Mg  0.7500  0.7500  0.7500  4 Os 2.77, 4 Li 2.77
Sb  0.2500  0.2500  0.2500  4 Li 2.77, 4 Os 2.77
Os  0.5000  0.5000  0.5000  4 Mg 2.77, 4 Sb 2.77

=====

In states/eV/f.u., the Fermi-level density of states values for the records above are, in order, 3.04 5.37 3.30 16.45 1.71 5.54 2.68.
In eV/atom, the E_tot values for the records above are, in order, -5.3284 -4.9037 -8.7174 -7.0054 -3.1384 -4.9621 -4.7735.